(1)
# PBE-GGA Tb2NpTc2, relaxed
data_Tb2NpTc2
_chemical_formula_sum 'Tb4 Np2 Tc4'
_cell_length_a 5.7530
_cell_length_b 5.7530
_cell_length_c 7.8870
_cell_angle_alpha 98.09
_cell_angle_beta 98.09
_cell_angle_gamma 61.90
_space_group_name_H-M_alt 'P 1'
_space_group_IT_number 1
_space_group_name_Hall 'P 1'
loop_
_atom_site_label
_atom_site_fract_x
_atom_site_fract_y
_atom_site_fract_z
Tb1 0.0241 0.2789 0.1515
Tb2 0.2789 0.0241 0.6515
Tb3 0.7211 0.9759 0.3485
Tb4 0.9759 0.7211 0.8485
Np1 0.3654 0.6346 0.2500
Np2 0.6346 0.3654 0.7500
Tc1 0.2480 0.5034 0.4862
Tc2 0.4966 0.7520 0.0138
Tc3 0.5034 0.2480 0.9862
Tc4 0.7520 0.4966 0.5138
# density of states at the Fermi level	8.71	states/eV/f.u.


(2)
# PBE-GGA Tb3NpTe6, relaxed
data_Tb3NpTe6
_chemical_formula_sum 'Tb6 Np2 Te12'
_cell_length_a 12.5262
_cell_length_b 4.3671
_cell_length_c 12.8251
_cell_angle_alpha 90.00
_cell_angle_beta 109.36
_cell_angle_gamma 90.00
_space_group_name_H-M_alt 'P 1'
_space_group_IT_number 1
_space_group_name_Hall 'P 1'
loop_
_atom_site_label
_atom_site_fract_x
_atom_site_fract_y
_atom_site_fract_z
Tb1 0.0685 0.2500 0.1653
Tb2 0.1816 0.7500 0.5023
Tb3 0.3465 0.2500 0.9216
Tb4 0.6535 0.7500 0.0784
Tb5 0.8184 0.2500 0.4977
Tb6 0.9315 0.7500 0.8347
Np1 0.4539 0.2500 0.3060
Np2 0.5461 0.7500 0.6940
Te1 0.0155 0.2500 0.3811
Te2 0.1074 0.2500 0.9376
Te3 0.2478 0.7500 0.2797
Te4 0.3077 0.7500 0.7501
Te5 0.3862 0.2500 0.5353
Te6 0.4156 0.7500 0.1024
Te7 0.5844 0.2500 0.8976
Te8 0.6138 0.7500 0.4647
Te9 0.6923 0.2500 0.2499
Te10 0.7522 0.2500 0.7203
Te11 0.8926 0.7500 0.0624
Te12 0.9845 0.7500 0.6189
# formation energy without anion corrections	-1200	meV per atom
# density of states at the Fermi level	7.07	states/eV/f.u.


(3)
# PBE-GGA TbNpTe6, relaxed
data_TbNpTe6
_chemical_formula_sum 'Tb1 Np1 Te6'
_cell_length_a 4.3654
_cell_length_b 13.4223
_cell_length_c 13.4223
_cell_angle_alpha 18.71
_cell_angle_beta 90.00
_cell_angle_gamma 90.00
_space_group_name_H-M_alt 'P 1'
_space_group_IT_number 1
_space_group_name_Hall 'P 1'
loop_
_atom_site_label
_atom_site_fract_x
_atom_site_fract_y
_atom_site_fract_z
Tb1 0.0000 0.0000 0.0000
Np1 0.5000 0.3422 0.3422
Te1 0.0000 0.2517 0.2517
Te2 0.0000 0.5930 0.5930
Te3 0.0000 0.8768 0.8768
Te4 0.5000 0.0931 0.0931
Te5 0.5000 0.4641 0.4641
Te6 0.5000 0.7517 0.7517
# formation energy without anion corrections	-729	meV per atom
# density of states at the Fermi level	12.01	states/eV/f.u.


(4)
# PBE-GGA TbNp2Tl3Te6, relaxed
data_TbNp2Tl3Te6
_chemical_formula_sum 'Tb1 Np2 Tl3 Te6'
_cell_length_a 7.7645
_cell_length_b 7.7645
_cell_length_c 8.5881
_cell_angle_alpha 98.67
_cell_angle_beta 98.67
_cell_angle_gamma 119.98
_space_group_name_H-M_alt 'P 1'
_space_group_IT_number 1
_space_group_name_Hall 'P 1'
loop_
_atom_site_label
_atom_site_fract_x
_atom_site_fract_y
_atom_site_fract_z
Tb1 0.0000 0.0000 0.0000
Np1 0.3333 0.6667 0.0000
Np2 0.6667 0.3333 0.0000
Tl1 0.1668 0.8332 0.5000
Tl2 0.5000 0.5000 0.5000
Tl3 0.8332 0.1668 0.5000
Te1 0.0715 0.4035 0.2145
Te2 0.2605 0.2605 0.7853
Te3 0.4035 0.0715 0.2145
Te4 0.5965 0.9285 0.7855
Te5 0.7395 0.7395 0.2147
Te6 0.9285 0.5965 0.7855
# formation energy without anion corrections	-721	meV per atom
# density of states at the Fermi level	19.39	states/eV/f.u.


(5)
# PBE-GGA TbTm2Np, relaxed
data_TbTm2Np
_chemical_formula_sum 'Tb1 Tm2 Np1'
_cell_length_a 12.3312
_cell_length_b 12.3312
_cell_length_c 12.3312
_cell_angle_alpha 15.59
_cell_angle_beta 15.59
_cell_angle_gamma 15.59
_space_group_name_H-M_alt 'P 1'
_space_group_IT_number 1
_space_group_name_Hall 'P 1'
loop_
_atom_site_label
_atom_site_fract_x
_atom_site_fract_y
_atom_site_fract_z
Tb1 0.0000 0.0000 0.0000
Tm1 0.4113 0.4113 0.4113
Tm2 0.5887 0.5887 0.5887
Np1 0.5000 0.5000 0.5000
# density of states at the Fermi level	9.84	states/eV/f.u.


(6)
# PBE-GGA TbNpZn, relaxed
data_TbNpZn
_chemical_formula_sum 'Tb2 Np2 Zn2'
_cell_length_a 10.0281
_cell_length_b 10.0281
_cell_length_c 4.1760
_cell_angle_alpha 90.00
_cell_angle_beta 90.00
_cell_angle_gamma 161.87
_space_group_name_H-M_alt 'P 1'
_space_group_IT_number 1
_space_group_name_Hall 'P 1'
loop_
_atom_site_label
_atom_site_fract_x
_atom_site_fract_y
_atom_site_fract_z
Tb1 0.1335 0.8665 0.7500
Tb2 0.8665 0.1335 0.2500
Np1 0.4696 0.5304 0.7500
Np2 0.5304 0.4696 0.2500
Zn1 0.2864 0.7136 0.7500
Zn2 0.7136 0.2864 0.2500
# density of states at the Fermi level	5.00	states/eV/f.u.


(7)
# PBE-GGA TbNpZn17, relaxed
data_TbNpZn17
_chemical_formula_sum 'Tb1 Np1 Zn17'
_cell_length_a 6.7965
_cell_length_b 6.7965
_cell_length_c 6.7965
_cell_angle_alpha 82.66
_cell_angle_beta 82.66
_cell_angle_gamma 82.66
_space_group_name_H-M_alt 'P 1'
_space_group_IT_number 1
_space_group_name_Hall 'P 1'
loop_
_atom_site_label
_atom_site_fract_x
_atom_site_fract_y
_atom_site_fract_z
Tb1 0.0000 0.0000 0.0000
Np1 0.3295 0.3295 0.3295
Zn1 0.0192 0.0192 0.5016
Zn2 0.0192 0.5016 0.0192
Zn3 0.1649 0.6639 0.6639
Zn4 0.3124 0.3124 0.8243
Zn5 0.3124 0.8243 0.3124
Zn6 0.3680 0.6646 0.9612
Zn7 0.3680 0.9612 0.6646
Zn8 0.5016 0.0192 0.0192
Zn9 0.5642 0.5642 0.5642
Zn10 0.6639 0.1649 0.6639
Zn11 0.6639 0.6639 0.1649
Zn12 0.6646 0.3680 0.9612
Zn13 0.6646 0.9612 0.3680
Zn14 0.7642 0.7642 0.7642
Zn15 0.8243 0.3124 0.3124
Zn16 0.9612 0.3680 0.6646
Zn17 0.9612 0.6646 0.3680
# density of states at the Fermi level	14.07	states/eV/f.u.


(8)
# PBE-GGA NpTc3, relaxed
data_NpTc3
_chemical_formula_sum 'Np1 Tc3'
_cell_length_a 4.5681
_cell_length_b 4.5681
_cell_length_c 3.1157
_cell_angle_alpha 90.00
_cell_angle_beta 90.00
_cell_angle_gamma 90.00
_space_group_name_H-M_alt 'P 1'
_space_group_IT_number 1
_space_group_name_Hall 'P 1'
loop_
_atom_site_label
_atom_site_fract_x
_atom_site_fract_y
_atom_site_fract_z
Np1 0.0000 0.0000 0.0000
Tc1 0.0000 0.5000 0.5000
Tc2 0.5000 0.0000 0.5000
Tc3 0.5000 0.5000 0.0000
# density of states at the Fermi level	6.08	states/eV/f.u.
# energy relative to the lowest polymorph listed for this composition	0.000	kcal/mol of atoms


What total magnetic moment values result from the calculations? In sequence: 0.347, 0.400, 0.447, 0.667, 1.154, 0.257, 0.220, 0.374 μB per atom.
What uncorrected energy values result from the calculations? In sequence: -8.680, -5.768, -5.282, -5.426, -6.173, -6.126, -2.210, -10.865 eV per atom.